(1)
VASP calculation (PBE with a Hubbard U) on an optimized crystal structure of KMoF2.

Summary:
M_tot, μB/f.u.: 4.16
E, eV/cell: -19.0

Unit cell a=7.574 b=7.574 c=7.574 alpha=28.09 beta=28.09 gamma=28.09
Each line ends with the local moment (μB).
Atoms (fractional coordinates):
F1 0.903 0.903 0.903  0.03
F2 0.097 0.097 0.097  0.03
K1 0.500 0.500 0.500  0.00
Mo1 0.000 0.000 0.000  3.54



(2)
VASP calculation (PBE with a Hubbard U) on an optimized crystal structure of K4MoF8.

Summary:
M_tot, μB/f.u.: 1.78
E, eV/cell: -59.4

Unit cell a=7.285 b=7.285 c=7.285 alpha=66.45 beta=66.45 gamma=66.45
Each line ends with the local moment (μB).
Atoms (fractional coordinates):
K1 0.500 0.500 0.000  0.00
K2 0.000 0.000 0.000  0.00
K3 0.000 0.500 0.500  0.00
K4 0.500 0.000 0.500  0.00
Mo1 0.500 0.500 0.500  1.85
F1 0.725 0.725 0.725  -0.04
F2 0.314 0.677 0.314  0.00
F3 0.275 0.275 0.275  -0.04
F4 0.314 0.314 0.677  0.00
F5 0.686 0.323 0.686  0.00
F6 0.686 0.686 0.323  0.00
F7 0.323 0.686 0.686  0.00
F8 0.677 0.314 0.314  0.00



(3)
VASP calculation (PBE with a Hubbard U) on an optimized crystal structure of KMo2F11.

Summary:
M_tot, μB/f.u.: 2.00
E, eV/cell: -142.0

Unit cell a=9.523 b=8.769 c=8.769 alpha=67.22 beta=57.12 gamma=57.12
Each line ends with the local moment (μB).
Atoms (fractional coordinates):
F1 0.836 0.371 0.867  0.01
F2 0.336 0.367 0.871  0.01
F3 0.574 0.129 0.633  0.01
F4 0.627 0.175 0.063  0.01
F5 0.365 0.325 0.437  0.01
F6 0.873 0.437 0.325  0.01
F7 0.074 0.133 0.629  0.01
F8 0.714 0.298 0.702  0.03
F9 0.635 0.675 0.563  0.01
F10 0.926 0.867 0.371  0.01
F11 0.214 0.202 0.798  0.03
F12 0.373 0.825 0.937  0.01
F13 0.664 0.633 0.129  0.01
F14 0.286 0.702 0.298  0.03
F15 0.000 0.000 0.000  0.02
F16 0.500 0.500 0.500  0.02
F17 0.127 0.563 0.675  0.01
F18 0.426 0.871 0.367  0.01
F19 0.135 0.063 0.175  0.01
F20 0.786 0.798 0.202  0.03
F21 0.865 0.937 0.825  0.01
F22 0.164 0.629 0.133  0.01
Mo1 0.349 0.344 0.656  0.94
Mo2 0.151 0.844 0.156  0.94
Mo3 0.849 0.156 0.844  0.94
Mo4 0.651 0.656 0.344  0.94
K1 0.250 0.250 0.250  0.00
K2 0.750 0.750 0.750  0.00



(4)
VASP calculation (PBE with a Hubbard U) on an optimized crystal structure of K2MoF7.

Summary:
M_tot, μB/f.u.: 1.00
E, eV/cell: -98.0

Unit cell a=6.894 b=7.702 c=8.184 alpha=74.38 beta=65.09 gamma=63.41
Each line ends with the local moment (μB).
Atoms (fractional coordinates):
K1 0.382 0.100 0.279  0.00
K2 0.618 0.900 0.721  0.00
K3 0.240 0.600 0.779  0.00
K4 0.760 0.400 0.221  0.00
F1 0.595 0.250 0.750  -0.01
F2 0.748 0.172 0.009  0.02
F3 0.405 0.750 0.250  -0.01
F4 0.993 0.636 0.142  0.00
F5 0.960 0.971 0.734  0.01
F6 0.334 0.471 0.234  0.01
F7 0.771 0.864 0.358  0.00
F8 0.040 0.029 0.266  0.01
F9 0.929 0.328 0.491  0.02
F10 0.007 0.364 0.858  0.00
F11 0.666 0.529 0.766  0.01
F12 0.229 0.136 0.642  0.00
F13 0.252 0.828 0.991  0.02
F14 0.071 0.672 0.509  0.02
Mo1 0.885 0.250 0.750  0.96
Mo2 0.115 0.750 0.250  0.96



Number 3 is which compound?
KMo2F11



What is the M_tot in the fourth record?
1.00 μB/f.u.



Look up the M_tot of the fourth one.
1.00 μB/f.u.